No. 1
Computed, not measured: LiCaCo2 at its PBEsol-relaxed geometry at the meta-GGA SCAN level of DFT.

Cell lengths 2.7752, 2.7752, 26.0007 Å; angles 90.00, 90.00, 120.00 degrees
Last column: nearest neighbours and their distance in Å.
Space group R-3m (No. 166, hexagonal axes)
Unique sites:
Li1 0.0000 0.0000 0.0000 (multiplicity 3)  6 Co 2.60, 6 Li 2.78
Ca1 0.0000 0.0000 0.5000 (multiplicity 3)  6 Ca 2.78, 6 Co 2.79
Co1 0.0000 0.0000 0.2546 (multiplicity 6)  3 Li 2.60, 6 Co 2.78, 3 Ca 2.79

energy above the most stable polymorph in this dataset	450	meV per atom
energy relative to the elements	2.96	eV per formula unit


No. 2
Computed, not measured: LiCaCo2 at its PBEsol-relaxed geometry at the meta-GGA SCAN level of DFT.

Cell lengths 6.2205, 6.2205, 6.2205 Å; angles 90.00, 90.00, 90.00 degrees
Last column: nearest neighbours and their distance in Å.
Space group Fm-3m (No. 225)
Unique sites:
Li1 0.0000 0.0000 0.0000 (multiplicity 4)  8 Co 2.69
Ca1 0.0000 0.0000 0.5000 (multiplicity 4)  8 Co 2.69
Co1 0.2500 0.2500 0.2500 (multiplicity 8)  4 Li 2.69, 4 Ca 2.69

energy above the most stable polymorph in this dataset	396	meV per atom
energy relative to the elements	2.74	eV per formula unit


No. 3
Computed, not measured: LiCaCo at its PBEsol-relaxed geometry at the meta-GGA SCAN level of DFT.

Cell lengths 4.5499, 4.5499, 3.0006 Å; angles 90.00, 90.00, 120.00 degrees
Last column: nearest neighbours and their distance in Å.
Space group P3m1 (No. 156)
Unique sites:
Li1 0.0000 0.0000 0.0000 (multiplicity 1)  3 Co 2.63
Ca1 0.3333 0.6667 0.4983 (multiplicity 1)  2 Ca 3.00, 6 Li 3.02-3.03, 6 Co 3.02-3.03
Co1 0.6667 0.3333 0.9973 (multiplicity 1)  3 Li 2.63

energy relative to the elements	1.37	eV per formula unit


No. 4
Computed, not measured: LiCaCo2 at its PBEsol-relaxed geometry at the meta-GGA SCAN level of DFT.

Cell lengths 3.0441, 3.0441, 7.3356 Å; angles 90.00, 90.00, 90.00 degrees
Last column: nearest neighbours and their distance in Å.
Space group P4mm (No. 99)
Unique sites:
Li1 0.0000 0.0000 0.0000 (multiplicity 1)  5 Co 2.54-2.71
Ca1 0.5000 0.5000 0.3760 (multiplicity 1)  5 Co 2.93-2.96, 4 Ca 3.04
Co1 0.0000 0.0000 0.6539 (multiplicity 1)  4 Co 2.33, 1 Li 2.54
Co2 0.5000 0.5000 0.7760 (multiplicity 1)  4 Co 2.33

energy above the most stable polymorph in this dataset	0	meV per atom
energy relative to the elements	1.16	eV per formula unit


No. 5
Computed, not measured: CaMg2Co at its PBEsol-relaxed geometry at the meta-GGA SCAN level of DFT.

Cell lengths 3.2625, 3.2625, 7.7516 Å; angles 90.00, 90.00, 90.00 degrees
Last column: nearest neighbours and their distance in Å.
Space group P4mm (No. 99)
Unique sites:
Ca1 0.0000 0.0000 0.0000 (multiplicity 1)  4 Co 2.93, 1 Mg 2.99, 4 Ca 3.26
Mg1 0.0000 0.0000 0.3863 (multiplicity 1)  4 Co 2.59
Mg2 0.5000 0.5000 0.6496 (multiplicity 1)  8 Mg 3.08-3.26, 1 Co 3.23
Co1 0.5000 0.5000 0.2333 (multiplicity 1)  4 Mg 2.59

energy relative to the elements	0.60	eV per formula unit


No. 6
Computed, not measured: Ca2MgCo at its PBEsol-relaxed geometry at the meta-GGA SCAN level of DFT.

Cell lengths 7.0822, 7.0822, 7.0822 Å; angles 90.00, 90.00, 90.00 degrees
Last column: nearest neighbours and their distance in Å.
Space group F-43m (No. 216)
Unique sites:
Ca1 0.0000 0.0000 0.0000 (multiplicity 4)  4 Co 3.07, 4 Ca 3.07
Ca2 0.2500 0.2500 0.2500 (multiplicity 4)  4 Mg 3.07, 4 Ca 3.07
Mg1 0.0000 0.0000 0.5000 (multiplicity 4)  4 Co 3.07, 4 Ca 3.07
Co1 0.2500 0.2500 0.7500 (multiplicity 4)  4 Mg 3.07, 4 Ca 3.07

energy relative to the elements	1.81	eV per formula unit


No. 7
Computed, not measured: CaMg2Co at its PBEsol-relaxed geometry at the meta-GGA SCAN level of DFT.

Cell lengths 3.1877, 4.9255, 10.3922 Å; angles 90.00, 90.00, 90.00 degrees
Last column: nearest neighbours and their distance in Å.
Space group Immm (No. 71)
Unique sites:
Ca1 0.0000 0.0000 0.0000 (multiplicity 2)  4 Co 2.93, 2 Ca 3.19, 4 Mg 3.21
Mg1 0.0000 0.5000 0.1978 (multiplicity 4)  2 Co 2.60
Co1 0.0000 0.0000 0.5000 (multiplicity 2)  4 Mg 2.60

energy relative to the elements	0.88	eV per formula unit


No. 8
Computed, not measured: CaMg30CoO32 at its PBEsol-relaxed geometry at the meta-GGA SCAN level of DFT.

Cell lengths 8.4868, 8.4868, 8.4626 Å; angles 90.00, 90.00, 90.00 degrees
Last column: nearest neighbours and their distance in Å.
Space group P4/mmm (No. 123)
Unique sites:
Ca1 0.0000 0.0000 0.0000 (multiplicity 1)  6 O 2.22-2.23
Mg1 0.0000 0.2531 0.2536 (multiplicity 8)  6 O 2.09-2.15
Mg2 0.0000 0.5000 0.0000 (multiplicity 2)  6 O 2.02-2.14
Mg3 0.0000 0.5000 0.5000 (multiplicity 2)  6 O 2.08-2.13
Mg4 0.2492 0.2492 0.5000 (multiplicity 4)  6 O 2.12-2.13
Mg5 0.2503 0.5000 0.2506 (multiplicity 8)  6 O 2.11-2.13
Mg6 0.2528 0.2528 0.0000 (multiplicity 4)  6 O 2.10-2.15
Mg7 0.5000 0.5000 0.0000 (multiplicity 1)  6 O 2.10-2.12
Mg8 0.5000 0.5000 0.5000 (multiplicity 1)  6 O 2.11-2.12
Co1 0.0000 0.0000 0.5000 (multiplicity 1)  6 O 2.00-2.17
O1 0.0000 0.0000 0.2631 (multiplicity 2)  1 Co 2.00, 4 Mg 2.15, 1 Ca 2.23
O2 0.0000 0.2553 0.5000 (multiplicity 4)  5 Mg 2.08-2.12, 1 Co 2.17
O3 0.0000 0.2617 0.0000 (multiplicity 4)  5 Mg 2.02-2.15, 1 Ca 2.22
O4 0.0000 0.5000 0.2517 (multiplicity 4)  6 Mg 2.10-2.13
O5 0.2495 0.2495 0.2500 (multiplicity 8)  6 Mg 2.12-2.13
O6 0.2507 0.5000 0.5000 (multiplicity 4)  6 Mg 2.11-2.13
O7 0.2520 0.5000 0.0000 (multiplicity 4)  6 Mg 2.10-2.14
O8 0.5000 0.5000 0.2504 (multiplicity 2)  6 Mg 2.11-2.12

energy relative to the elements, uncorrected	-2939	meV per atom


No. 9
Computed, not measured: CaMg14CoO16 at its PBEsol-relaxed geometry at the meta-GGA SCAN level of DFT.

Cell lengths 8.5168, 8.5168, 4.2687 Å; angles 90.00, 90.00, 90.00 degrees
Last column: nearest neighbours and their distance in Å.
Space group P4/mmm (No. 123)
Unique sites:
Ca1 0.0000 0.0000 0.0000 (multiplicity 1)  6 O 2.13-2.24
Mg1 0.0000 0.2557 0.5000 (multiplicity 4)  6 O 2.08-2.18
Mg2 0.0000 0.5000 0.0000 (multiplicity 2)  6 O 2.02-2.13
Mg3 0.2516 0.5000 0.5000 (multiplicity 4)  6 O 2.12-2.14
Mg4 0.2539 0.2539 0.0000 (multiplicity 4)  6 O 2.10-2.16
Co1 0.5000 0.5000 0.0000 (multiplicity 1)  6 O 2.12-2.13
O1 0.0000 0.0000 0.5000 (multiplicity 1)  2 Ca 2.13, 4 Mg 2.18
O2 0.0000 0.2632 0.0000 (multiplicity 4)  5 Mg 2.02-2.16, 1 Ca 2.24
O3 0.0000 0.5000 0.5000 (multiplicity 2)  6 Mg 2.08-2.14
O4 0.2506 0.2506 0.5000 (multiplicity 4)  6 Mg 2.12-2.13
O5 0.2505 0.5000 0.0000 (multiplicity 4)  5 Mg 2.10-2.13, 1 Co 2.12
O6 0.5000 0.5000 0.5000 (multiplicity 1)  4 Mg 2.12, 2 Co 2.13

energy relative to the elements, uncorrected	-2860	meV per atom
energy above the most stable polymorph in this dataset	10	meV per atom


No. 10
Computed, not measured: CaMg14CoO16 at its PBEsol-relaxed geometry at the meta-GGA SCAN level of DFT.

Cell lengths 4.2725, 8.4944, 8.5321 Å; angles 90.00, 90.00, 90.00 degrees
Last column: nearest neighbours and their distance in Å.
Space group Pmmm (No. 47)
Unique sites:
Ca1 0.0000 0.0000 0.0000 (multiplicity 1)  6 O 2.14-2.24
Mg1 0.0000 0.0000 0.5000 (multiplicity 1)  6 O 2.02-2.14
Mg2 0.0000 0.2541 0.2530 (multiplicity 4)  6 O 2.09-2.16
Mg3 0.0000 0.5000 0.5000 (multiplicity 1)  6 O 2.08-2.14
Mg4 0.5000 0.0000 0.2554 (multiplicity 2)  6 O 2.09-2.18
Mg5 0.5000 0.2510 0.5000 (multiplicity 2)  6 O 2.11-2.14
Mg6 0.5000 0.2565 0.0000 (multiplicity 2)  6 O 2.07-2.18
Mg7 0.5000 0.5000 0.2494 (multiplicity 2)  6 O 2.12-2.14
Co1 0.0000 0.5000 0.0000 (multiplicity 1)  6 O 2.01-2.18
O1 0.0000 0.0000 0.2629 (multiplicity 2)  5 Mg 2.02-2.16, 1 Ca 2.24
O2 0.0000 0.2520 0.5000 (multiplicity 2)  6 Mg 2.11-2.14
O3 0.0000 0.2630 0.0000 (multiplicity 2)  1 Co 2.01, 4 Mg 2.14-2.16, 1 Ca 2.23
O4 0.0000 0.5000 0.2556 (multiplicity 2)  5 Mg 2.08-2.14, 1 Co 2.18
O5 0.5000 0.0000 0.0000 (multiplicity 1)  2 Ca 2.14, 4 Mg 2.18
O6 0.5000 0.0000 0.5000 (multiplicity 1)  6 Mg 2.09-2.14
O7 0.5000 0.2504 0.2492 (multiplicity 4)  6 Mg 2.12-2.14
O8 0.5000 0.5000 0.0000 (multiplicity 1)  4 Mg 2.07-2.13, 2 Co 2.14
O9 0.5000 0.5000 0.5000 (multiplicity 1)  6 Mg 2.11-2.14

energy relative to the elements, uncorrected	-2870	meV per atom
energy above the most stable polymorph in this dataset	0	meV per atom


No. 11
Computed, not measured: CaMgCoRe2 at its PBEsol-relaxed geometry at the meta-GGA SCAN level of DFT.

Cell lengths 4.4709, 4.4709, 4.7086 Å; angles 90.00, 90.00, 90.00 degrees
Last column: nearest neighbours and their distance in Å.
Space group P4/mmm (No. 123)
Unique sites:
Ca1 0.0000 0.0000 0.0000 (multiplicity 1)  4 Mg 3.16, 8 Re 3.25
Mg1 0.5000 0.5000 0.0000 (multiplicity 1)  2 Co 2.35
Co1 0.5000 0.5000 0.5000 (multiplicity 1)  4 Re 2.24, 2 Mg 2.35
Re1 0.0000 0.5000 0.5000 (multiplicity 2)  2 Co 2.24

energy relative to the elements	4.44	eV per formula unit


No. 12
Computed, not measured: Ca2YMgCo at its PBEsol-relaxed geometry at the meta-GGA SCAN level of DFT.

Cell lengths 5.6046, 5.6046, 5.6722 Å; angles 90.00, 90.00, 90.00 degrees
Last column: nearest neighbours and their distance in Å.
Space group P4/mmm (No. 123)
Unique sites:
Ca1 0.0000 0.5000 0.0000 (multiplicity 2)  2 Mg 2.80
Y1 0.0000 0.0000 0.5000 (multiplicity 1)  2 Mg 2.84
Mg1 0.0000 0.0000 0.0000 (multiplicity 1)  4 Ca 2.80, 2 Y 2.84
Co1 0.5000 0.5000 0.5000 (multiplicity 1)  4 Y 3.96, 8 Ca 3.99

energy relative to the elements	5.39	eV per formula unit


The records above give, respectively, mass density values of 4.737 4.550 3.270 4.028 2.971 3.055 3.005 3.651 3.729 3.728 8.746 2.351 Mg/m³.